(1)
# Pm2Sm3Sn4, optimized geometry, DFT PBE
data_Pm2Sm3Sn4
_space_group_name_H-M_alt 'P 1'
_space_group_IT_number 1
_cell_length_a 8.478
_cell_length_b 8.459
_cell_length_c 8.126
_cell_angle_alpha 90.00
_cell_angle_beta 110.82
_cell_angle_gamma 90.00
loop_
_space_group_symop_operation_xyz
'x,y,z'
loop_
_atom_site_label
_atom_site_type_symbol
_atom_site_fract_x
_atom_site_fract_y
_atom_site_fract_z
_atom_site_occupancy
Pm1 Pm 0.194 0.181 0.063 1
Pm2 Pm 0.194 0.319 0.563 1
Pm3 Pm 0.806 0.681 0.437 1
Pm4 Pm 0.806 0.819 0.937 1
Sm1 Sm 0.244 0.669 0.237 1
Sm2 Sm 0.244 0.831 0.737 1
Sm3 Sm 0.500 0.000 0.500 1
Sm4 Sm 0.500 0.500 0.000 1
Sm5 Sm 0.756 0.169 0.263 1
Sm6 Sm 0.756 0.331 0.763 1
Sn1 Sn 0.082 0.536 0.834 1
Sn2 Sn 0.082 0.964 0.334 1
Sn3 Sn 0.485 0.135 0.866 1
Sn4 Sn 0.485 0.365 0.366 1
Sn5 Sn 0.515 0.635 0.634 1
Sn6 Sn 0.515 0.865 0.134 1
Sn7 Sn 0.918 0.036 0.666 1
Sn8 Sn 0.918 0.464 0.166 1
# Crystal system: monoclinic
# Energy above the lowest structure with this stoichiometry: 0.0 meV per atom
# Total magnetization: 0.000 Bohr magnetons per cell
# Formation enthalpy at 0 K: -0.768 eV per atom

=====

(2)
# BaMgAs2, optimized geometry, DFT PBE
data_BaMgAs2
_space_group_name_H-M_alt 'P 1'
_space_group_IT_number 1
_cell_length_a 3.483
_cell_length_b 4.936
_cell_length_c 6.878
_cell_angle_alpha 90.00
_cell_angle_beta 90.00
_cell_angle_gamma 90.00
loop_
_space_group_symop_operation_xyz
'x,y,z'
loop_
_atom_site_label
_atom_site_type_symbol
_atom_site_fract_x
_atom_site_fract_y
_atom_site_fract_z
_atom_site_occupancy
Ba1 Ba 0.000 0.000 0.000 1
Mg1 Mg 0.500 0.500 0.483 1
As1 As 0.000 0.000 0.478 1
As2 As 0.500 0.500 0.862 1
# Crystal system: orthorhombic
# Total magnetization: 0.000 Bohr magnetons per cell
# Formation enthalpy at 0 K: -0.316 eV per atom

=====

(3)
# ErAl3NiAu, optimized geometry, DFT PBE
data_ErAl3NiAu
_space_group_name_H-M_alt 'P 1'
_space_group_IT_number 1
_cell_length_a 6.860
_cell_length_b 6.860
_cell_length_c 5.755
_cell_angle_alpha 90.00
_cell_angle_beta 90.00
_cell_angle_gamma 127.27
loop_
_space_group_symop_operation_xyz
'x,y,z'
loop_
_atom_site_label
_atom_site_type_symbol
_atom_site_fract_x
_atom_site_fract_y
_atom_site_fract_z
_atom_site_occupancy
Er1 Er 0.222 0.778 0.750 1
Er2 Er 0.778 0.222 0.250 1
Al1 Al 0.216 0.216 0.000 1
Al2 Al 0.216 0.216 0.500 1
Al3 Al 0.366 0.634 0.250 1
Al4 Al 0.634 0.366 0.750 1
Al5 Al 0.784 0.784 0.000 1
Al6 Al 0.784 0.784 0.500 1
Ni1 Ni 0.432 0.568 0.750 1
Ni2 Ni 0.568 0.432 0.250 1
Au1 Au 0.157 0.843 0.250 1
Au2 Au 0.843 0.157 0.750 1
# Crystal system: orthorhombic
# Total magnetization: 0.000 Bohr magnetons per cell
# Formation enthalpy at 0 K: -0.455 eV per atom

=====

(4)
# KTe2Os, optimized geometry, DFT PBE
data_KTe2Os
_space_group_name_H-M_alt 'P 1'
_space_group_IT_number 1
_cell_length_a 3.433
_cell_length_b 3.433
_cell_length_c 8.504
_cell_angle_alpha 90.00
_cell_angle_beta 90.00
_cell_angle_gamma 90.00
loop_
_space_group_symop_operation_xyz
'x,y,z'
loop_
_atom_site_label
_atom_site_type_symbol
_atom_site_fract_x
_atom_site_fract_y
_atom_site_fract_z
_atom_site_occupancy
K1 K 0.000 0.000 0.000 1
Te1 Te 0.500 0.500 0.313 1
Te2 Te 0.500 0.500 0.687 1
Os1 Os 0.000 0.000 0.500 1
# Formation energy from raw total energies: 285 meV per atom
# Crystal system: tetragonal
# Energy above the lowest structure with this stoichiometry: 453.0 meV per atom
# Total magnetization: 0.223 Bohr magnetons per cell

=====

(5)
# CdPtW2, optimized geometry, DFT PBE
data_CdPtW2
_space_group_name_H-M_alt 'P 1'
_space_group_IT_number 1
_cell_length_a 2.778
_cell_length_b 2.778
_cell_length_c 8.754
_cell_angle_alpha 90.00
_cell_angle_beta 90.00
_cell_angle_gamma 90.00
loop_
_space_group_symop_operation_xyz
'x,y,z'
loop_
_atom_site_label
_atom_site_type_symbol
_atom_site_fract_x
_atom_site_fract_y
_atom_site_fract_z
_atom_site_occupancy
Cd1 Cd 0.000 0.000 0.000 1
Pt1 Pt 0.500 0.500 0.259 1
W1 W 0.000 0.000 0.476 1
W2 W 0.500 0.500 0.730 1
# Crystal system: tetragonal
# Total magnetization: 0.000 Bohr magnetons per cell
# Formation enthalpy at 0 K: 0.119 eV per atom

=====

(6)
# Y6Tl5In, optimized geometry, DFT PBE
data_Y6Tl5In
_space_group_name_H-M_alt 'P 1'
_space_group_IT_number 1
_cell_length_a 7.446
_cell_length_b 7.446
_cell_length_c 6.598
_cell_angle_alpha 98.31
_cell_angle_beta 98.31
_cell_angle_gamma 98.33
loop_
_space_group_symop_operation_xyz
'x,y,z'
loop_
_atom_site_label
_atom_site_type_symbol
_atom_site_fract_x
_atom_site_fract_y
_atom_site_fract_z
_atom_site_occupancy
Y1 Y 0.083 0.415 0.750 1
Y2 Y 0.248 0.248 0.245 1
Y3 Y 0.415 0.083 0.750 1
Y4 Y 0.585 0.917 0.250 1
Y5 Y 0.752 0.752 0.755 1
Y6 Y 0.917 0.585 0.250 1
Tl1 Tl 0.000 0.000 0.500 1
Tl2 Tl 0.171 0.829 0.000 1
Tl3 Tl 0.336 0.664 0.500 1
Tl4 Tl 0.664 0.336 0.500 1
Tl5 Tl 0.829 0.171 0.000 1
In1 In 0.500 0.500 0.000 1
# Crystal system: monoclinic
# Energy above the lowest structure with this stoichiometry: 99.4 meV per atom
# Total magnetization: 0.000 Bohr magnetons per cell
# Formation enthalpy at 0 K: -0.295 eV per atom

=====

(7)
# NaCaYF6, optimized geometry, DFT PBE
data_NaCaYF6
_space_group_name_H-M_alt 'P 1'
_space_group_IT_number 1
_cell_length_a 6.018
_cell_length_b 6.018
_cell_length_c 9.335
_cell_angle_alpha 90.00
_cell_angle_beta 90.00
_cell_angle_gamma 120.00
loop_
_space_group_symop_operation_xyz
'x,y,z'
loop_
_atom_site_label
_atom_site_type_symbol
_atom_site_fract_x
_atom_site_fract_y
_atom_site_fract_z
_atom_site_occupancy
Na1 Na 0.000 0.000 0.000 1
Na2 Na 0.000 0.000 0.500 1
Ca1 Ca 0.333 0.667 0.250 1
Ca2 Ca 0.667 0.333 0.750 1
Y1 Y 0.333 0.667 0.750 1
Y2 Y 0.667 0.333 0.250 1
F1 F 0.010 0.355 0.632 1
F2 F 0.010 0.654 0.868 1
F3 F 0.346 0.355 0.868 1
F4 F 0.346 0.990 0.632 1
F5 F 0.355 0.010 0.132 1
F6 F 0.355 0.346 0.368 1
F7 F 0.645 0.654 0.632 1
F8 F 0.645 0.990 0.868 1
F9 F 0.654 0.010 0.368 1
F10 F 0.654 0.645 0.132 1
F11 F 0.990 0.346 0.132 1
F12 F 0.990 0.645 0.368 1
# Formation energy from raw total energies: -3684 meV per atom
# Crystal system: trigonal
# Total magnetization: 0.000 Bohr magnetons per cell

=====

(8)
# NbGa2NiSb, optimized geometry, DFT PBE
data_NbGa2NiSb
_space_group_name_H-M_alt 'P 1'
_space_group_IT_number 1
_cell_length_a 5.124
_cell_length_b 5.124
_cell_length_c 4.484
_cell_angle_alpha 90.00
_cell_angle_beta 90.00
_cell_angle_gamma 90.00
loop_
_space_group_symop_operation_xyz
'x,y,z'
loop_
_atom_site_label
_atom_site_type_symbol
_atom_site_fract_x
_atom_site_fract_y
_atom_site_fract_z
_atom_site_occupancy
Nb1 Nb 0.000 0.000 0.000 1
Ga1 Ga 0.000 0.500 0.500 1
Ga2 Ga 0.500 0.000 0.500 1
Ni1 Ni 0.500 0.500 0.000 1
Sb1 Sb 0.500 0.500 0.500 1
# Formation energy from raw total energies: 1248 meV per atom
# Crystal system: tetragonal
# Total magnetization: 0.000 Bohr magnetons per cell

=====

(9)
# La4MgP, optimized geometry, DFT PBE
data_La4MgP
_space_group_name_H-M_alt 'P 1'
_space_group_IT_number 1
_cell_length_a 6.408
_cell_length_b 6.408
_cell_length_c 6.408
_cell_angle_alpha 60.00
_cell_angle_beta 60.00
_cell_angle_gamma 60.00
loop_
_space_group_symop_operation_xyz
'x,y,z'
loop_
_atom_site_label
_atom_site_type_symbol
_atom_site_fract_x
_atom_site_fract_y
_atom_site_fract_z
_atom_site_occupancy
La1 La 0.376 0.376 0.376 1
La2 La 0.376 0.376 0.872 1
La3 La 0.376 0.872 0.376 1
La4 La 0.872 0.376 0.376 1
Mg1 Mg 0.000 0.000 0.000 1
P1 P 0.750 0.750 0.750 1
# Crystal system: cubic
# Total magnetization: 0.001 Bohr magnetons per cell
# Formation enthalpy at 0 K: 0.299 eV per atom

=====

(10)
# Zr3Te, optimized geometry, DFT PBE
data_Zr3Te
_space_group_name_H-M_alt 'P 1'
_space_group_IT_number 1
_cell_length_a 4.728
_cell_length_b 4.728
_cell_length_c 3.953
_cell_angle_alpha 90.00
_cell_angle_beta 90.00
_cell_angle_gamma 90.00
loop_
_space_group_symop_operation_xyz
'x,y,z'
loop_
_atom_site_label
_atom_site_type_symbol
_atom_site_fract_x
_atom_site_fract_y
_atom_site_fract_z
_atom_site_occupancy
Zr1 Zr 0.000 0.000 0.000 1
Zr2 Zr 0.000 0.500 0.500 1
Zr3 Zr 0.500 0.000 0.500 1
Te1 Te 0.500 0.500 0.000 1
# Formation energy from raw total energies: -345 meV per atom
# Crystal system: tetragonal
# Total magnetization: 0.000 Bohr magnetons per cell

=====

(11)
# MnTeCl2, optimized geometry, DFT PBE
data_MnTeCl2
_space_group_name_H-M_alt 'P 1'
_space_group_IT_number 1
_cell_length_a 7.658
_cell_length_b 7.658
_cell_length_c 7.658
_cell_angle_alpha 153.00
_cell_angle_beta 138.21
_cell_angle_gamma 50.46
loop_
_space_group_symop_operation_xyz
'x,y,z'
loop_
_atom_site_label
_atom_site_type_symbol
_atom_site_fract_x
_atom_site_fract_y
_atom_site_fract_z
_atom_site_occupancy
Mn1 Mn 0.000 0.000 0.000 1
Te1 Te 0.144 0.644 0.500 1
Cl1 Cl 0.608 0.608 0.000 1
Cl2 Cl 0.886 0.386 0.500 1
# Formation energy from raw total energies: -456 meV per atom
# Crystal system: orthorhombic
# Energy above the lowest structure with this stoichiometry: 144.9 meV per atom
# Total magnetization: 4.211 Bohr magnetons per cell

=====

(12)
# RbCeTiO5, optimized geometry, DFT PBE
data_RbCeTiO5
_space_group_name_H-M_alt 'P 1'
_space_group_IT_number 1
_cell_length_a 6.428
_cell_length_b 6.428
_cell_length_c 8.234
_cell_angle_alpha 104.41
_cell_angle_beta 104.41
_cell_angle_gamma 106.32
loop_
_space_group_symop_operation_xyz
'x,y,z'
loop_
_atom_site_label
_atom_site_type_symbol
_atom_site_fract_x
_atom_site_fract_y
_atom_site_fract_z
_atom_site_occupancy
Rb1 Rb 0.169 0.831 0.750 1
Rb2 Rb 0.831 0.169 0.250 1
Ce1 Ce 0.500 0.500 0.000 1
Ce2 Ce 0.500 0.500 0.500 1
Ti1 Ti 0.190 0.810 0.250 1
Ti2 Ti 0.810 0.190 0.750 1
O1 O 0.112 0.274 0.889 1
O2 O 0.214 0.626 0.388 1
O3 O 0.274 0.112 0.389 1
O4 O 0.374 0.786 0.112 1
O5 O 0.443 0.557 0.750 1
O6 O 0.557 0.443 0.250 1
O7 O 0.626 0.214 0.888 1
O8 O 0.726 0.888 0.611 1
O9 O 0.786 0.374 0.612 1
O10 O 0.888 0.726 0.111 1
# Formation energy from raw total energies: -2603 meV per atom
# Crystal system: monoclinic
# Total magnetization: 2.066 Bohr magnetons per cell